# 1
The following is a DFT calculation (PBE-GGA) of crystalline FeSiBP at its relaxed geometry.

Computed properties:
ΔE_f (raw) ... -0.10 eV/atom
Crystal system ... trigonal
Calculated volume ... 12.2 Å³ per atom

Cell lengths 5.9839, 5.9839, 5.9839 Å; angles 30.40, 30.40, 30.40 degrees
Element x y z (fractional)
Fe 0.0000 0.0000 0.0000
Si 0.2493 0.2493 0.2493
B 0.1309 0.1309 0.1309
P 0.7613 0.7613 0.7613

---

# 2
The following is a DFT calculation (PBE-GGA) of crystalline ZrAg2P at its relaxed geometry.

Computed properties:
Formation energy from the elements ... -0.09 eV/atom
Crystal system ... orthorhombic
Calculated volume ... 18.2 Å³ per atom

Cell lengths 4.6739, 4.6739, 4.6739 Å; angles 120.59, 118.44, 90.85 degrees
Element x y z (fractional)
Zr 0.0000 0.0000 0.0000
Ag 0.2494 0.7494 0.5000
Ag 0.5052 0.5052 0.0000
P 0.6950 0.1950 0.5000

---

# 3
The following is a DFT calculation (PBE-GGA) of crystalline Na4Hg2Au at its relaxed geometry.

Computed properties:
Formation energy from the elements ... -0.10 eV/atom
Crystal system ... tetragonal
Calculated volume ... 33.6 Å³ per atom

Cell lengths 8.6196, 8.6196, 8.6196 Å; angles 142.53, 142.53, 54.03 degrees
Element x y z (fractional)
Na 0.0000 0.5000 0.5000
Na 0.1898 0.1898 0.0000
Na 0.5000 0.0000 0.5000
Na 0.8102 0.8102 0.0000
Hg 0.3893 0.3893 0.0000
Hg 0.6107 0.6107 0.0000
Au 0.0000 0.0000 0.0000

---

# 4
The following is a DFT calculation (PBE-GGA) of crystalline ZrAsP at its relaxed geometry.

Computed properties:
Formation energy from the elements ... -0.89 eV/atom
Crystal system ... tetragonal
Calculated volume ... 18.0 Å³ per atom

Cell lengths 3.6482, 3.6482, 8.1281 Å; angles 90.00, 90.00, 90.00 degrees
Element x y z (fractional)
Zr 0.2500 0.2500 0.2457
Zr 0.7500 0.7500 0.7543
As 0.2500 0.2500 0.8852
As 0.7500 0.7500 0.1148
P 0.2500 0.7500 0.5000
P 0.7500 0.2500 0.5000

---

> Which of these has the lowest calculated volume?

FeSiBP

---

What did the third record say?
The following is a DFT calculation (PBE-GGA) of crystalline Na4Hg2Au at its relaxed geometry.

Computed properties:
Formation energy from the elements ... -0.10 eV/atom
Crystal system ... tetragonal
Calculated volume ... 33.6 Å³ per atom

Cell lengths 8.6196, 8.6196, 8.6196 Å; angles 142.53, 142.53, 54.03 degrees
Element x y z (fractional)
Na 0.0000 0.5000 0.5000
Na 0.1898 0.1898 0.0000
Na 0.5000 0.0000 0.5000
Na 0.8102 0.8102 0.0000
Hg 0.3893 0.3893 0.0000
Hg 0.6107 0.6107 0.0000
Au 0.0000 0.0000 0.0000